Entry 1:
# CsCoPtCl6

A relaxed structure of CsCoPtCl6 (PBE, Alexandria).

Formation energy (no corrections) in eV per atom: -0.792

a b c (Å): 6.3668 6.3748 7.8230
angles (deg): 91.27 91.73 116.88
With the nearest neighbours (Å) after each atom.
Positions (direct):
Cs 0.0000 0.0000 0.0000  6 Cl 3.49-3.51
Co 0.3352 0.6784 0.4989  4 Cl 2.27-2.54
Pt 0.6758 0.3298 0.5005  4 Cl 2.34-2.36
Cl 0.0015 0.3571 0.6674  1 Pt 2.35, 1 Co 2.61
Cl 0.0380 0.6264 0.3091  1 Co 2.27
Cl 0.3736 0.9662 0.6923  1 Co 2.27
Cl 0.3873 0.3629 0.3277  1 Pt 2.34, 1 Co 2.54
Cl 0.6389 0.6156 0.6712  1 Pt 2.34, 1 Co 2.51
Cl 0.6500 0.0035 0.3367  1 Pt 2.36, 1 Co 2.54

---

Entry 2:
# ThCdRu2

A relaxed structure of ThCdRu2 (PBE, Alexandria).

Excess energy over the best structure of this formula in the dataset in eV per atom: 0.027

a b c (Å): 6.7498 6.7498 6.7498
angles (deg): 90.00 90.00 90.00
With the nearest neighbours (Å) after each atom.
Positions (direct):
Th 0.0000 0.0000 0.0000  8 Ru 2.92
Th 0.0000 0.5000 0.5000  8 Ru 2.92
Th 0.5000 0.0000 0.5000  8 Ru 2.92
Th 0.5000 0.5000 0.0000  8 Ru 2.92
Cd 0.0000 0.0000 0.5000  8 Ru 2.92
Cd 0.0000 0.5000 0.0000  8 Ru 2.92
Cd 0.5000 0.0000 0.0000  8 Ru 2.92
Cd 0.5000 0.5000 0.5000  8 Ru 2.92
Ru 0.2500 0.2500 0.2500  4 Th 2.92, 4 Cd 2.92
Ru 0.2500 0.2500 0.7500  4 Cd 2.92, 4 Th 2.92
Ru 0.2500 0.7500 0.2500  4 Cd 2.92, 4 Th 2.92
Ru 0.2500 0.7500 0.7500  4 Th 2.92, 4 Cd 2.92
Ru 0.7500 0.2500 0.2500  4 Cd 2.92, 4 Th 2.92
Ru 0.7500 0.2500 0.7500  4 Th 2.92, 4 Cd 2.92
Ru 0.7500 0.7500 0.2500  4 Th 2.92, 4 Cd 2.92
Ru 0.7500 0.7500 0.7500  4 Cd 2.92, 4 Th 2.92

---

Entry 3:
# TmPdAu4

A relaxed structure of TmPdAu4 (PBE, Alexandria).

Excess energy over the best structure of this formula in the dataset in eV per atom: 0.089

a b c (Å): 5.4734 5.4734 5.4734
angles (deg): 60.00 60.00 60.00
With the nearest neighbours (Å) after each atom.
Positions (direct):
Tm 0.0000 0.0000 0.0000  12 Au 3.21, 4 Pd 3.35
Pd 0.7500 0.7500 0.7500  12 Au 3.21, 4 Tm 3.35
Au 0.3753 0.3753 0.3753  6 Au 2.73-2.74
Au 0.3753 0.3753 0.8741  6 Au 2.73-2.74
Au 0.3753 0.8741 0.3753  6 Au 2.73-2.74
Au 0.8741 0.3753 0.3753  6 Au 2.73-2.74

---

Entry 4:
# AgBAs3

A relaxed structure of AgBAs3 (PBE, Alexandria).

Excess energy over the best structure of this formula in the dataset in eV per atom: 0.000

a b c (Å): 4.4450 4.4450 4.4450
angles (deg): 90.00 90.00 90.00
With the nearest neighbours (Å) after each atom.
Positions (direct):
Ag 0.0000 0.0000 0.0000  12 As 3.14
B 0.5000 0.5000 0.5000  6 As 2.22
As 0.0000 0.5000 0.5000  2 B 2.22
As 0.5000 0.0000 0.5000  2 B 2.22
As 0.5000 0.5000 0.0000  2 B 2.22

---

Entry 5:
# Ac2ScCd3

A relaxed structure of Ac2ScCd3 (PBE, Alexandria).

a b c (Å): 6.3425 6.3425 10.0151
angles (deg): 90.00 90.00 120.00
With the nearest neighbours (Å) after each atom.
Positions (direct):
Ac 0.3333 0.6667 0.0643  9 Cd 3.63-3.68, 3 Sc 3.72, 4 Ac 3.72-3.88
Ac 0.3333 0.6667 0.4357  9 Cd 3.63-3.68, 3 Sc 3.72, 4 Ac 3.72-3.88
Ac 0.6667 0.3333 0.5643  9 Cd 3.63-3.68, 3 Sc 3.72, 4 Ac 3.72-3.88
Ac 0.6667 0.3333 0.9357  9 Cd 3.63-3.68, 3 Sc 3.72, 4 Ac 3.72-3.88
Sc 0.0000 0.0000 0.0000  6 Cd 3.12
Sc 0.0000 0.0000 0.5000  6 Cd 3.12
Cd 0.1691 0.3383 0.7500  2 Sc 3.12, 4 Cd 3.12-3.22
Cd 0.1691 0.8309 0.7500  2 Sc 3.12, 4 Cd 3.12-3.22
Cd 0.3383 0.1691 0.2500  2 Sc 3.12, 4 Cd 3.12-3.22
Cd 0.6617 0.8309 0.7500  2 Sc 3.12, 4 Cd 3.12-3.22
Cd 0.8309 0.1691 0.2500  2 Sc 3.12, 4 Cd 3.12-3.22
Cd 0.8309 0.6617 0.2500  2 Sc 3.12, 4 Cd 3.12-3.22

---

Entry 6:
# Na2SnAs3Pd4

A relaxed structure of Na2SnAs3Pd4 (PBE, Alexandria).

a b c (Å): 4.3906 4.3906 10.5094
angles (deg): 90.00 90.00 90.00
With the nearest neighbours (Å) after each atom.
Positions (direct):
Na 0.0000 0.5000 0.2369  8 Pd 3.32-3.34, 6 As 3.33-3.53, 2 Sn 3.53
Na 0.5000 0.0000 0.7631  8 Pd 3.32-3.34, 6 As 3.33-3.53, 2 Sn 3.53
Sn 0.0000 0.0000 0.5000  4 Pd 2.68
As 0.0000 0.5000 0.8787  5 Pd 2.45-2.54
As 0.5000 0.0000 0.1213  5 Pd 2.45-2.54
As 0.5000 0.5000 0.5000  4 Pd 2.68
Pd 0.0000 0.0000 0.0000  4 As 2.54
Pd 0.0000 0.5000 0.6455  3 As 2.45-2.68, 2 Sn 2.68
Pd 0.5000 0.0000 0.3545  3 As 2.45-2.68, 2 Sn 2.68
Pd 0.5000 0.5000 0.0000  4 As 2.54

---

| no. | DFT total energy (eV per atom) |
| --- | --- |
| 1 | -3.579 |
| 2 | -6.836 |
| 3 | -4.221 |
| 4 | -3.908 |
| 5 | -3.123 |
| 6 | -4.542 |